! Ta2Pd3, relaxed, DFT GGA-PBE; values from VASP
&SYSTEM
  ibrav = 0, nat = 20, ntyp = 2
/
ATOMIC_SPECIES
Ta 180.95 Ta.upf
Pd 106.42 Pd.upf
CELL_PARAMETERS angstrom
-0.559 6.037 1.535
-4.116 -0.976 -4.607
-4.149 -4.724 7.795
ATOMIC_POSITIONS crystal
Ta 0.177 0.677 0.354
Ta 0.323 0.823 0.646
Ta 0.026 0.526 0.052
Ta 0.776 0.776 0.552
Ta 0.224 0.224 0.448
Ta 0.073 0.073 0.146
Ta 0.927 0.927 0.854
Ta 0.474 0.974 0.948
Pd 0.102 0.584 0.807
Pd 0.924 0.424 0.500
Pd 0.416 0.898 0.193
Pd 0.326 0.326 0.000
Pd 0.777 0.295 0.193
Pd 0.834 0.852 0.307
Pd 0.674 0.674 0.000
Pd 0.576 0.076 0.500
Pd 0.705 0.223 0.807
Pd 0.473 0.455 0.307
Pd 0.148 0.166 0.693
Pd 0.545 0.527 0.693
! N(E_F)	4.29	states/eV/f.u.
! formation energy from the elements	0.03	eV per atom
! calculated total energy	-156.6	eV for the cell shown